# Rb3TlP2S8

A relaxed structure of Rb3TlP2S8 (PBE, the Alexandria database).

```
Rb3TlP2S8
1.0
7.0157 0.0000 0.0000
-3.5079 6.0758 0.0000
0.0000 0.0000 10.2169
S Rb P Tl
8 3 2 1
Cartesian
3.5079 2.0253 9.8557
3.5079 3.9998 7.2721
0.0000 2.0760 2.9448
-1.7100 5.0378 2.9448
1.7100 5.0378 2.9448
5.2179 1.0380 7.2721
1.7979 1.0380 7.2721
0.0000 4.0505 0.3612
0.0000 4.0505 7.0327
0.0000 0.0000 0.0000
3.5079 2.0253 3.1842
0.0000 4.0505 2.3815
3.5079 2.0253 7.8355
0.0000 0.0000 5.1085
```

Summary:
Total energy: -57.23 eV/cell
Formation energy without anion corrections: -580 meV/atom

=====

# LiSb2Pd2

A relaxed structure of LiSb2Pd2 (PBE, the Alexandria database).

```
LiSb2Pd2
1.0
-2.8543 6.5787 2.7852
-6.4795 -1.1208 -3.9930
-1.3258 -1.6865 2.6249
Sb Li Pd
4 2 4
Cartesian
-5.4605 -0.4927 -0.8856
-5.1992 4.2642 2.3027
-2.6951 1.1611 1.5738
-7.9646 2.6103 -0.1566
0.0000 0.0000 0.0000
-4.6669 2.7290 -0.6039
-6.5701 5.0073 -0.1013
-2.7637 0.4506 -1.1064
-6.6811 1.4519 -2.4418
-2.6528 4.0061 1.2340
```

Summary:
Total energy: -45.06 eV/cell
Formation energy without anion corrections: -397 meV/atom

=====

# ErCd2RhO6

A relaxed structure of ErCd2RhO6 (PBE, the Alexandria database).

```
ErCd2RhO6
1.0
-0.8987 3.4548 4.3033
-1.9302 -4.3621 3.0990
7.4571 -1.4136 2.6548
Cd O Rh Er
4 12 2 2
Cartesian
0.0283 -4.4953 3.6544
4.0963 -1.6922 5.8670
4.6000 2.1744 6.4027
0.5320 -0.6288 4.1900
5.7844 -0.2983 6.5433
4.7565 -2.6426 3.8857
1.5986 -2.5707 4.7728
-1.1561 -2.0226 3.5138
1.8458 -1.6288 7.4381
1.3301 1.4900 3.5035
-0.0886 -0.4071 1.5468
4.7169 -1.9138 8.5102
-0.1282 0.3217 6.1713
2.7825 -0.6922 2.6190
3.2983 -3.8109 6.5536
3.0297 0.2498 5.2842
3.2792 1.0206 3.4790
-0.9651 -2.1811 1.5495
-0.4493 1.7274 2.1517
2.7635 -2.8879 2.8769
```

Summary:
Total energy: -116.54 eV/cell
Formation energy without anion corrections: -1478 meV/atom

=====

# NaTi2RuO8

A relaxed structure of NaTi2RuO8 (PBE, the Alexandria database).

```
NaTi2RuO8
1.0
-3.6723 2.9545 -0.3223
-2.2372 -2.2026 3.4629
2.6718 3.7699 4.1232
Ti O Ru Na
2 8 1 1
Cartesian
-2.2430 1.3800 2.6684
-0.9947 3.1419 4.5953
-0.5735 2.1575 3.0489
-1.2859 4.8707 3.7381
-1.7508 0.2396 0.9152
-1.4869 4.2823 6.3486
-2.8420 2.6754 1.3371
-2.6642 2.3643 4.2148
-0.3957 1.8464 5.9266
-1.9518 -0.3489 3.5257
0.0000 0.0000 0.0000
1.3359 1.8849 2.0616
```

Summary:
Total energy: -88.73 eV/cell
Formation energy without anion corrections: -1890 meV/atom

=====

Question: What is the total energy in the second record?
Answer: -45.06 eV/cell

=====

Question: Among the records above, which one has the highest total energy?
Answer: LiSb2Pd2